(1)
# LaPm2TmTl2 GGA-PBE relaxed
data_LaPm2TmTl2
_cell_length_a 5.2232
_cell_length_b 10.2276
_cell_length_c 6.9520
_cell_angle_alpha 90.00
_cell_angle_beta 90.00
_cell_angle_gamma 90.00
_symmetry_space_group_name_H-M 'P 1'
_symmetry_Int_Tables_number 1
loop_
_symmetry_equiv_pos_as_xyz
'x,y,z'
loop_
_atom_site_label
_atom_site_fract_x
_atom_site_fract_y
_atom_site_fract_z
_atom_site_occupancy
La1 0.0000 0.0449 0.0000 1
La2 0.0000 0.9551 0.5000 1
Pm1 0.0000 0.3189 0.3775 1
Pm2 0.0000 0.6811 0.8775 1
Pm3 0.5000 0.4525 0.0953 1
Pm4 0.5000 0.5475 0.5953 1
Tm1 0.5000 0.1932 0.7179 1
Tm2 0.5000 0.8068 0.2179 1
Tl1 0.0000 0.3598 0.8390 1
Tl2 0.0000 0.6402 0.3390 1
Tl3 0.5000 0.1305 0.2680 1
Tl4 0.5000 0.8695 0.7680 1
# formation energy from the elements = -0.2683 eV/atom


(2)
Density functional theory data (GGA-PBE) for a geometry-optimized Na5Ga2O5 structure.

CIF file:
```
data_Na5Ga2O5
_cell_length_a 5.7493
_cell_length_b 5.7493
_cell_length_c 9.1996
_cell_angle_alpha 106.01
_cell_angle_beta 106.01
_cell_angle_gamma 33.54
_symmetry_space_group_name_H-M 'P 1'
_symmetry_Int_Tables_number 1
loop_
_symmetry_equiv_pos_as_xyz
'x,y,z'
loop_
_atom_site_label
_atom_site_fract_x
_atom_site_fract_y
_atom_site_fract_z
_atom_site_occupancy
Na1 0.0000 0.0000 0.0000 1
Na2 0.1578 0.1578 0.5647 1
Na3 0.2516 0.2516 0.8728 1
Na4 0.7484 0.7484 0.1272 1
Na5 0.8422 0.8422 0.4353 1
Ga1 0.4675 0.4675 0.7065 1
Ga2 0.5325 0.5325 0.2935 1
O1 0.1381 0.1381 0.2966 1
O2 0.3948 0.3948 0.1204 1
O3 0.5000 0.5000 0.5000 1
O4 0.6052 0.6052 0.8796 1
O5 0.8619 0.8619 0.7034 1
```


(3)
# Ce2Zn3Ag2 GGA-PBE relaxed
data_Ce2Zn3Ag2
_cell_length_a 5.6655
_cell_length_b 5.6655
_cell_length_c 6.7508
_cell_angle_alpha 112.15
_cell_angle_beta 112.15
_cell_angle_gamma 48.19
_symmetry_space_group_name_H-M 'P 1'
_symmetry_Int_Tables_number 1
loop_
_symmetry_equiv_pos_as_xyz
'x,y,z'
loop_
_atom_site_label
_atom_site_fract_x
_atom_site_fract_y
_atom_site_fract_z
_atom_site_occupancy
Ce1 0.1509 0.1509 0.2591 1
Ce2 0.8491 0.8491 0.7409 1
Zn1 0.4053 0.4053 0.0820 1
Zn2 0.5000 0.5000 0.5000 1
Zn3 0.5947 0.5947 0.9180 1
Ag1 0.1429 0.1429 0.7318 1
Ag2 0.8571 0.8571 0.2682 1
# formation energy from the elements = -0.1960 eV/atom
# excess energy over the best structure of this formula in the dataset = 0 meV/atom


(4)
# YGaPd GGA-PBE relaxed
data_YGaPd
_cell_length_a 8.2106
_cell_length_b 7.2384
_cell_length_c 6.7370
_cell_angle_alpha 71.86
_cell_angle_beta 56.91
_cell_angle_gamma 51.24
_symmetry_space_group_name_H-M 'P 1'
_symmetry_Int_Tables_number 1
loop_
_symmetry_equiv_pos_as_xyz
'x,y,z'
loop_
_atom_site_label
_atom_site_fract_x
_atom_site_fract_y
_atom_site_fract_z
_atom_site_occupancy
Y1 0.0000 0.0000 0.0000 1
Y2 0.0000 0.0000 0.5000 1
Y3 0.0000 0.5000 0.0000 1
Y4 0.5000 0.0000 0.0000 1
Ga1 0.2139 0.2139 0.5361 1
Ga2 0.4639 0.4639 0.7861 1
Ga3 0.5361 0.5361 0.2139 1
Ga4 0.7861 0.7861 0.4639 1
Pd1 0.2321 0.5179 0.2321 1
Pd2 0.4821 0.7679 0.4821 1
Pd3 0.5179 0.2321 0.5179 1
Pd4 0.7679 0.4821 0.7679 1
# formation energy from the elements = -0.6011 eV/atom


(5)
# AsPtS2N GGA-PBE relaxed
data_AsPtS2N
_cell_length_a 4.8271
_cell_length_b 4.8271
_cell_length_c 3.4575
_cell_angle_alpha 90.00
_cell_angle_beta 90.00
_cell_angle_gamma 90.00
_symmetry_space_group_name_H-M 'P 1'
_symmetry_Int_Tables_number 1
loop_
_symmetry_equiv_pos_as_xyz
'x,y,z'
loop_
_atom_site_label
_atom_site_fract_x
_atom_site_fract_y
_atom_site_fract_z
_atom_site_occupancy
As1 0.0000 0.0000 0.0000 1
Pt1 0.5000 0.5000 0.5000 1
S1 0.0000 0.5000 0.0000 1
S2 0.5000 0.0000 0.0000 1
N1 0.0000 0.0000 0.5000 1
# excess energy over the best structure of this formula in the dataset = 362 meV/atom


(6)
# RbSnB GGA-PBE relaxed
data_RbSnB
_cell_length_a 5.8773
_cell_length_b 5.1554
_cell_length_c 6.4594
_cell_angle_alpha 90.00
_cell_angle_beta 116.90
_cell_angle_gamma 90.00
_symmetry_space_group_name_H-M 'P 1'
_symmetry_Int_Tables_number 1
loop_
_symmetry_equiv_pos_as_xyz
'x,y,z'
loop_
_atom_site_label
_atom_site_fract_x
_atom_site_fract_y
_atom_site_fract_z
_atom_site_occupancy
Rb1 0.1507 0.0000 0.3009 1
Rb2 0.8493 0.0000 0.6991 1
Sn1 0.3689 0.5000 0.7383 1
Sn2 0.6311 0.5000 0.2617 1
B1 0.5000 0.1539 0.0000 1
B2 0.5000 0.8461 0.0000 1
# formation energy from the elements = 0.2395 eV/atom


(7)
Density functional theory data (GGA-PBE) for a geometry-optimized Sm6CuIr2I3 structure.

CIF file:
```
data_Sm6CuIr2I3
_cell_length_a 7.2408
_cell_length_b 7.2408
_cell_length_c 8.3927
_cell_angle_alpha 98.27
_cell_angle_beta 98.27
_cell_angle_gamma 119.98
_symmetry_space_group_name_H-M 'P 1'
_symmetry_Int_Tables_number 1
loop_
_symmetry_equiv_pos_as_xyz
'x,y,z'
loop_
_atom_site_label
_atom_site_fract_x
_atom_site_fract_y
_atom_site_fract_z
_atom_site_occupancy
Sm1 0.0948 0.4381 0.8145 1
Sm2 0.2185 0.2185 0.1849 1
Sm3 0.4381 0.0948 0.8145 1
Sm4 0.5619 0.9052 0.1855 1
Sm5 0.7815 0.7815 0.8151 1
Sm6 0.9052 0.5619 0.1855 1
Cu1 0.5000 0.5000 0.0000 1
Ir1 0.1668 0.8332 0.0000 1
Ir2 0.8332 0.1668 0.0000 1
I1 0.0000 0.0000 0.5000 1
I2 0.3342 0.6658 0.5000 1
I3 0.6658 0.3342 0.5000 1
```


(8)
# La2Pm3DyAs6 GGA-PBE relaxed
data_La2Pm3DyAs6
_cell_length_a 9.5381
_cell_length_b 9.5381
_cell_length_c 8.5350
_cell_angle_alpha 102.98
_cell_angle_beta 102.98
_cell_angle_gamma 25.86
_symmetry_space_group_name_H-M 'P 1'
_symmetry_Int_Tables_number 1
loop_
_symmetry_equiv_pos_as_xyz
'x,y,z'
loop_
_atom_site_label
_atom_site_fract_x
_atom_site_fract_y
_atom_site_fract_z
_atom_site_occupancy
La1 0.1652 0.1652 0.3310 1
La2 0.8348 0.8348 0.6690 1
Pm1 0.1669 0.1669 0.8344 1
Pm2 0.5000 0.5000 0.5000 1
Pm3 0.8331 0.8331 0.1656 1
Dy1 0.5000 0.5000 0.0000 1
As1 0.0020 0.0020 0.7562 1
As2 0.3347 0.3347 0.4131 1
As3 0.3356 0.3356 0.9223 1
As4 0.6644 0.6644 0.0777 1
As5 0.6653 0.6653 0.5869 1
As6 0.9980 0.9980 0.2438 1
# formation energy from the elements = -1.5330 eV/atom


no.,uncorrected energy (eV per cell)
1,-50.5
2,-55.0
3,-22.8
4,-65.9
5,-21.5
6,-21.9
7,-64.8
8,-75.0